{
  "formula": "SrAl2Co9",
  "functional": "PBE",
  "state": "optimized geometry",
  "dos_at_fermi_per_ev_atom": 1.5415,
  "sg": "No. 191",
  "dft_energy_ev_per_atom": -5.914,
  "delta_e_f_ev_per_fu": 2.2,
  "cell": [[8.1538, 0.0000, 0.0000], [-4.0769, 7.0614, 0.0000], [0.0000, 0.0000, 2.6645]],
  "species": ["Sr", "Al", "Al", "Co", "Co", "Co", "Co", "Co", "Co", "Co", "Co", "Co"],
  "fractional_positions": [[0.0000, 0.0000, 0.0000], [0.3333, 0.6667, 0.0000], [0.6667, 0.3333, 0.0000], [0.0000, 0.5000, 0.0000], [0.1891, 0.3783, 0.5000], [0.1891, 0.8109, 0.5000], [0.3783, 0.1891, 0.5000], [0.5000, 0.0000, 0.0000], [0.5000, 0.5000, 0.0000], [0.6217, 0.8109, 0.5000], [0.8109, 0.1891, 0.5000], [0.8109, 0.6217, 0.5000]]
}